Record 1
# PBE Tl2CoSe, relaxed
# V = 23.271 Å³ per atom
# relative energy among the computed polymorphs = 0.28 eV per formula unit
# energy = -3.755 eV per atom
# formation energy without anion corrections = 0.30 eV per formula unit
data_Tl2CoSe
_cell_length_a 3.174
_cell_length_b 3.174
_cell_length_c 9.239
_cell_angle_alpha 90.00
_cell_angle_beta 90.00
_cell_angle_gamma 90.00
_symmetry_space_group_name_H-M 'P 4 m m'
_symmetry_Int_Tables_number 99
_symmetry_space_group_name_Hall 'P 4 -2'
loop_
_atom_site_label
_atom_site_type_symbol
_atom_site_fract_x
_atom_site_fract_y
_atom_site_fract_z
Tl1 Tl 0.000 0.000 0.000
Tl2 Tl 0.500 0.500 0.339
Co1 Co 0.000 0.000 0.591
Se1 Se 0.500 0.500 0.685

Record 2
# PBE LaTiPO2, relaxed
# V = 30.661 Å³ per atom
# relative energy among the computed polymorphs = 3.79 eV per formula unit
# energy = -7.094 eV per atom
# formation energy without anion corrections = -7.32 eV per formula unit
data_LaTiPO2
_cell_length_a 3.892
_cell_length_b 3.892
_cell_length_c 10.120
_cell_angle_alpha 90.00
_cell_angle_beta 90.00
_cell_angle_gamma 90.00
_symmetry_space_group_name_H-M 'P 4/m m m'
_symmetry_Int_Tables_number 123
_symmetry_space_group_name_Hall '-P 4 2'
loop_
_atom_site_label
_atom_site_type_symbol
_atom_site_fract_x
_atom_site_fract_y
_atom_site_fract_z
La1 La 0.000 0.000 0.000
Ti1 Ti 0.000 0.000 0.500
P1 P 0.500 0.500 0.000
O1 O 0.000 0.500 0.500

Record 3
# PBE LiRh2C, relaxed
# V = 12.824 Å³ per atom
# energy = -6.454 eV per atom
# DFT formation energy = 6 meV per atom
data_LiRh2C
_cell_length_a 6.605
_cell_length_b 6.605
_cell_length_c 4.703
_cell_angle_alpha 90.00
_cell_angle_beta 90.00
_cell_angle_gamma 90.00
_symmetry_space_group_name_H-M 'I -4 2 d'
_symmetry_Int_Tables_number 122
_symmetry_space_group_name_Hall 'I -4 2bw'
loop_
_atom_site_label
_atom_site_type_symbol
_atom_site_fract_x
_atom_site_fract_y
_atom_site_fract_z
Li1 Li 0.000 0.000 0.000
Rh1 Rh 0.135 0.250 0.625
C1 C 0.000 0.000 0.500